# BeFePd3 GGA-PBE optimized geometry
data_BeFePd3
_space_group_name_H-M_alt 'P m -3 m'
_space_group_IT_number 221
_space_group_name_Hall '-P 4 2 3'
_cell_length_a 4.569
_cell_length_b 4.569
_cell_length_c 4.569
_cell_angle_alpha 90.00
_cell_angle_beta 90.00
_cell_angle_gamma 90.00
loop_
_atom_site_label
_atom_site_fract_x
_atom_site_fract_y
_atom_site_fract_z
Be1 0.000 0.000 0.000
Fe1 0.500 0.500 0.500
Pd1 0.000 0.500 0.500
# **ΔH_f (0 K)**: 1.00 eV/atom

# Ca3Y2Pt4 GGA-PBE optimized geometry
data_Ca3Y2Pt4
_space_group_name_H-M_alt 'P 1 21/c 1'
_space_group_IT_number 14
_cell_length_a 7.835
_cell_length_b 7.841
_cell_length_c 7.251
_cell_angle_alpha 90.00
_cell_angle_beta 108.68
_cell_angle_gamma 90.00
loop_
_space_group_symop_operation_xyz
'x,y,z'
'-x,-y,-z'
'-x,y+1/2,-z+1/2'
'x,-y+1/2,z+1/2'
loop_
_atom_site_label
_atom_site_fract_x
_atom_site_fract_y
_atom_site_fract_z
Ca1 0.000 0.000 0.000
Ca2 0.249 0.178 0.755
Y1 0.318 0.686 0.938
Pt1 0.041 0.637 0.129
Pt2 0.430 0.027 0.161
# **ΔH_f (0 K)**: -1.00 eV/atom

# SbHI2F GGA-PBE optimized geometry
data_SbHI2F
_space_group_name_H-M_alt 'P 4/m m m'
_space_group_IT_number 123
_space_group_name_Hall '-P 4 2'
_cell_length_a 5.984
_cell_length_b 5.984
_cell_length_c 4.242
_cell_angle_alpha 90.00
_cell_angle_beta 90.00
_cell_angle_gamma 90.00
loop_
_atom_site_label
_atom_site_fract_x
_atom_site_fract_y
_atom_site_fract_z
Sb1 0.000 0.000 0.000
H1 0.500 0.500 0.000
I1 0.000 0.500 0.500
F1 0.000 0.000 0.500
# **E_tot**: -2.30 eV/atom

# Tb3Y5Er GGA-PBE optimized geometry
data_Tb3Y5Er
_space_group_name_H-M_alt 'P 63/m c m'
_space_group_IT_number 193
_space_group_name_Hall '-P 6c 2'
_cell_length_a 9.7325
_cell_length_b 9.7325
_cell_length_c 7.0307
_cell_angle_alpha 90.00
_cell_angle_beta 90.00
_cell_angle_gamma 120.00
loop_
_atom_site_label
_atom_site_fract_x
_atom_site_fract_y
_atom_site_fract_z
Tb1 0.0000 0.3598 0.2500
Y1 0.0000 0.3047 0.7500
Y2 0.3333 0.6667 0.0000
Er1 0.0000 0.0000 0.0000
# **ΔH_f (0 K)**: 0.05 eV/atom

Values for D(E_F), states/eV/atom, ordered as above
0.5967; 0.3922; 0.6318; 1.3993